Record 1
{"formula": "Sc2NbPt", "functional": "PBE-GGA", "state": "relaxed", "dos_ef_per_ev_cell": 4.01, "relative_energy_ev_per_fu": 2.25, "total_magnetization_mub_per_cell": 0.000, "space_group": "R-3m, No. 166", "cell": [[1.771, 0.000, 9.871], [-0.885, 1.534, 9.871], [-0.885, -1.534, 9.871]], "species": ["Pt", "Sc", "Nb", "Sc"], "frac_coords": [[0.000, 0.000, 0.000], [0.914, 0.914, 0.914], [0.500, 0.500, 0.500], [0.086, 0.086, 0.086]]}

---

Record 2
{"formula": "ScNb2Pt9", "functional": "PBE-GGA", "state": "relaxed", "dos_ef_per_ev_cell": 7.01, "final_energy_ev_per_atom": -7.49, "total_magnetization_mub_per_cell": 0.000, "space_group": "P4/mmm, No. 123", "cell": [[-0.047, 0.779, -3.923], [0.316, -3.911, -0.780], [-12.024, -0.963, -0.048]], "species": ["Pt", "Pt", "Pt", "Pt", "Nb", "Pt", "Sc", "Pt", "Pt", "Pt", "Nb", "Pt"], "frac_coords": [[0.000, 0.500, 0.500], [0.500, 0.500, 0.000], [0.000, 0.500, 0.829], [0.500, 0.000, 0.500], [0.000, 0.000, 0.330], [0.500, 0.500, 0.664], [0.000, 0.000, 0.000], [0.500, 0.000, 0.829], [0.500, 0.500, 0.336], [0.500, 0.000, 0.171], [0.000, 0.000, 0.670], [0.000, 0.500, 0.171]]}

---

Record 3
{"formula": "ScNbPt3", "functional": "PBE-GGA", "state": "relaxed", "dos_ef_per_ev_cell": 4.02, "relative_energy_ev_per_fu": 0.00, "total_magnetization_mub_per_cell": 0.000, "space_group": "Pm-3m, No. 221", "cell": [[4.864, 0.000, 0.000], [0.000, 4.864, 0.000], [0.000, 0.000, 4.864]], "species": ["Pt", "Sc", "Nb", "Pt", "Pt"], "frac_coords": [[0.000, 0.500, 0.000], [0.500, 0.500, 0.500], [0.000, 0.000, 0.000], [0.500, 0.000, 0.000], [0.000, 0.000, 0.500]]}

---

Record 4
{"formula": "Sc2NbPt9", "functional": "PBE-GGA", "state": "relaxed", "dos_ef_per_ev_cell": 3.83, "final_energy_ev_per_atom": -7.37, "total_magnetization_mub_per_cell": 0.000, "space_group": "P4/mmm, No. 123", "cell": [[-1.097, 2.953, -2.477], [-1.490, -2.700, -2.559], [-10.665, 0.662, 5.512]], "species": ["Nb", "Pt", "Pt", "Pt", "Pt", "Pt", "Pt", "Pt", "Pt", "Pt", "Sc", "Sc"], "frac_coords": [[0.000, 0.000, 0.000], [0.000, 0.500, 0.500], [0.000, 0.500, 0.838], [0.500, 0.000, 0.500], [0.500, 0.000, 0.838], [0.500, 0.500, 0.331], [0.500, 0.500, 0.669], [0.000, 0.500, 0.162], [0.500, 0.000, 0.162], [0.500, 0.500, 0.000], [0.000, 0.000, 0.663], [0.000, 0.000, 0.337]]}

---

Record 5
{"formula": "ScNb2Pt2", "functional": "PBE-GGA", "state": "relaxed", "dos_ef_per_ev_cell": 10.64, "relative_energy_ev_per_fu": 0.00, "total_magnetization_mub_per_cell": 0.000, "space_group": "P4/mbm, No. 127", "cell": [[7.493, 0.000, 0.000], [0.000, 7.493, 0.000], [0.000, 0.000, 3.286]], "species": ["Sc", "Pt", "Nb", "Nb", "Sc", "Nb", "Pt", "Pt", "Pt", "Nb"], "frac_coords": [[0.500, 0.500, 0.000], [0.127, 0.373, 0.000], [0.674, 0.826, 0.500], [0.826, 0.326, 0.500], [0.000, 0.000, 0.000], [0.174, 0.674, 0.500], [0.873, 0.627, 0.000], [0.373, 0.873, 0.000], [0.627, 0.127, 0.000], [0.326, 0.174, 0.500]]}

---

Record 6
{"formula": "ScNbPt4", "functional": "PBE-GGA", "state": "relaxed", "dos_ef_per_ev_cell": 3.72, "final_energy_ev_per_atom": -7.60, "total_magnetization_mub_per_cell": 0.000, "space_group": "C2/m, No. 12", "cell": [[-1.026, -2.552, 0.865], [3.501, -3.388, -1.035], [1.127, 0.423, 7.392]], "species": ["Pt", "Sc", "Pt", "Nb", "Pt", "Pt"], "frac_coords": [[0.666, 0.998, 0.670], [0.500, 0.500, 0.500], [0.169, 0.495, 0.166], [0.000, 0.000, 0.000], [0.334, 0.002, 0.330], [0.831, 0.505, 0.834]]}

---

What did the fifth record say?
{"formula": "ScNb2Pt2", "functional": "PBE-GGA", "state": "relaxed", "dos_ef_per_ev_cell": 10.64, "relative_energy_ev_per_fu": 0.00, "total_magnetization_mub_per_cell": 0.000, "space_group": "P4/mbm, No. 127", "cell": [[7.493, 0.000, 0.000], [0.000, 7.493, 0.000], [0.000, 0.000, 3.286]], "species": ["Sc", "Pt", "Nb", "Nb", "Sc", "Nb", "Pt", "Pt", "Pt", "Nb"], "frac_coords": [[0.500, 0.500, 0.000], [0.127, 0.373, 0.000], [0.674, 0.826, 0.500], [0.826, 0.326, 0.500], [0.000, 0.000, 0.000], [0.174, 0.674, 0.500], [0.873, 0.627, 0.000], [0.373, 0.873, 0.000], [0.627, 0.127, 0.000], [0.326, 0.174, 0.500]]}